1.
Material: Tb5S7
Method: DFT, GGA-PBE
State: relaxed

It has space group C2/m (No. 12), with a = 12.900 Å, b = 3.824 Å, c = 11.647 Å, α = 90.00°, β = 104.59° and γ = 90.00°. The asymmetric unit holds Tb at (0.000, 0.000, 0.000), Tb at (0.112, 0.000, 0.421), Tb at (0.199, 0.500, 0.812), S at (0.000, 0.500, 0.500), S at (0.041, 0.000, 0.785), S at (0.159, 0.500, 0.051) and S at (0.241, 0.500, 0.352).

As for the total magnetization: 0.00 μB/atom. As for the total energy: -6.416 eV per atom. The crystal system is monoclinic.

2.
Material: TbS2
Method: DFT, GGA-PBE
State: relaxed

It has space group P6_3mc (No. 186), with a = 4.1603 Å, b = 4.1603 Å, c = 10.1273 Å, α = 90.00°, β = 90.00° and γ = 120.00°. The asymmetric unit holds Tb at (0.3333, 0.6667, 0.0000), S at (0.0000, 0.0000, 0.3734) and S at (0.3333, 0.6667, 0.6341).

As for the total magnetization: 0.00 μB/atom. As for the total energy: -5.616 eV per atom. The crystal system is hexagonal.

3.
Material: TbS
Method: DFT, GGA-PBE
State: relaxed

It has space group Pm-3m (No. 221), with a = 3.412 Å, b = 3.412 Å, c = 3.412 Å, α = 90.00°, β = 90.00° and γ = 90.00°. The asymmetric unit holds Tb at (0.000, 0.000, 0.000) and S at (0.500, 0.500, 0.500).

As for the total magnetization: 0.13 μB/atom. As for the total energy: -6.038 eV per atom. The crystal system is cubic.

4.
Material: TbS
Method: DFT, GGA-PBE
State: relaxed

It has space group F-43m (No. 216), with a = 6.138 Å, b = 6.138 Å, c = 6.138 Å, α = 90.00°, β = 90.00° and γ = 90.00°. The asymmetric unit holds Tb at (0.000, 0.000, 0.000) and S at (0.250, 0.250, 0.250).

As for the total magnetization: 0.00 μB/atom. As for the total energy: -5.947 eV per atom. The crystal system is cubic.

5.
Material: TbS
Method: DFT, GGA-PBE
State: relaxed

It has space group Fm-3m (No. 225), with a = 5.547 Å, b = 5.547 Å, c = 5.547 Å, α = 90.00°, β = 90.00° and γ = 90.00°. The asymmetric unit holds Tb at (0.000, 0.000, 0.000) and S at (0.000, 0.000, 0.500).

As for the total magnetization: 0.00 μB/atom. As for the total energy: -6.389 eV per atom. The crystal system is cubic.

6.
Material: TbS2
Method: DFT, GGA-PBE
State: relaxed

It has space group Fd-3m (No. 227, origin choice 2), with a = 7.782 Å, b = 7.782 Å, c = 7.782 Å, α = 90.00°, β = 90.00° and γ = 90.00°. The asymmetric unit holds Tb at (0.125, 0.125, 0.125) and S at (0.000, 0.000, 0.500).

As for the total magnetization: 0.09 μB/atom. As for the total energy: -4.382 eV per atom. The crystal system is cubic.

7.
Material: TbS2
Method: DFT, GGA-PBE
State: relaxed

It has space group C2 (No. 5), with a = 4.082 Å, b = 7.048 Å, c = 19.982 Å, α = 90.00°, β = 94.21° and γ = 90.00°. The asymmetric unit holds Tb at (0.000, 0.000, 0.000) and S at (0.025, 0.334, 0.071).

As for the total magnetization: 0.33 μB/atom. As for the total energy: -5.603 eV per atom. The crystal system is monoclinic.

8.
Material: TbTl2S3
Method: DFT, GGA-PBE
State: relaxed

It has space group P2_1/m (No. 11), with a = 7.409 Å, b = 4.049 Å, c = 10.598 Å, α = 90.00°, β = 91.02° and γ = 90.00°. The asymmetric unit holds Tb at (0.081, 0.250, 0.161), Tl at (0.251, 0.750, 0.496), Tl at (0.420, 0.250, 0.830), S at (0.067, 0.250, 0.702), S at (0.215, 0.750, 0.006) and S at (0.394, 0.250, 0.306).

As for the total magnetization: 0.00 μB/atom. As for the total energy: -4.619 eV per atom. The crystal system is monoclinic.

9.
Material: TbTmS2
Method: DFT, GGA-PBE
State: relaxed

It has space group C2/m (No. 12), with a = 6.705 Å, b = 3.884 Å, c = 6.727 Å, α = 90.00°, β = 109.52° and γ = 90.00°. The asymmetric unit holds Tb at (0.000, 0.000, 0.000), Tm at (0.000, 0.500, 0.500) and S at (0.247, 0.000, 0.742).

As for the total magnetization: 0.00 μB/atom. As for the total energy: -6.311 eV per atom. The calculation puts the offset from the most stable computed form at 0 meV/atom. The crystal system is monoclinic.

10.
Material: TbTmS2
Method: DFT, GGA-PBE
State: relaxed

It has space group P4/mmm (No. 123), with a = 3.880 Å, b = 3.880 Å, c = 5.489 Å, α = 90.00°, β = 90.00° and γ = 90.00°. The asymmetric unit holds Tb at (0.000, 0.000, 0.000), Tm at (0.500, 0.500, 0.500), S at (0.000, 0.000, 0.500) and S at (0.500, 0.500, 0.000).

As for the total magnetization: 0.00 μB/atom. As for the total energy: -6.302 eV per atom. The calculation puts the offset from the most stable computed form at 9 meV/atom. The crystal system is tetragonal.

11.
Material: Tb3TmS
Method: DFT, GGA-PBE
State: relaxed

It has space group Pm-3m (No. 221), with a = 5.304 Å, b = 5.304 Å, c = 5.304 Å, α = 90.00°, β = 90.00° and γ = 90.00°. The asymmetric unit holds Tb at (0.000, 0.000, 0.500), Tm at (0.500, 0.500, 0.500) and S at (0.000, 0.000, 0.000).

As for the total magnetization: 0.01 μB/atom. As for the total energy: -5.150 eV per atom. The crystal system is cubic.

12.
Material: Tb2YS3
Method: DFT, GGA-PBE
State: relaxed

It has space group P-3m1 (No. 164), with a = 3.9155 Å, b = 3.9155 Å, c = 9.6167 Å, α = 90.00°, β = 90.00° and γ = 120.00°. The asymmetric unit holds Tb at (0.3333, 0.6667, 0.1663), Y at (0.0000, 0.0000, 0.5000), S at (0.0000, 0.0000, 0.0000) and S at (0.3333, 0.6667, 0.6659).

As for the total magnetization: 0.00 μB/atom. As for the total energy: -6.691 eV per atom. The crystal system is trigonal.

What did the second record say?
Material: TbS2
Method: DFT, GGA-PBE
State: relaxed

It has space group P6_3mc (No. 186), with a = 4.1603 Å, b = 4.1603 Å, c = 10.1273 Å, α = 90.00°, β = 90.00° and γ = 120.00°. The asymmetric unit holds Tb at (0.3333, 0.6667, 0.0000), S at (0.0000, 0.0000, 0.3734) and S at (0.3333, 0.6667, 0.6341).

As for the total magnetization: 0.00 μB/atom. As for the total energy: -5.616 eV per atom. The crystal system is hexagonal.